First-principles (PBE-GGA) data for a geometry-optimized Sm2MnNi3P4 structure, as listed in Alexandria.

Cell: 3.9898 3.9898 9.2763 Å, 90.00 90.00 90.00°
Space group P-4m2 (No. 115)
One atom of each set of equivalent atoms:
Sm (0.0000, 0.5000, 0.2426) [2 per cell]
Mn (0.0000, 0.0000, 0.5000) [1 per cell]
Ni (0.0000, 0.5000, 0.8837) [2 per cell]
Ni (0.5000, 0.5000, 0.5000) [1 per cell]
P (0.0000, 0.0000, 0.0000) [1 per cell]
P (0.0000, 0.5000, 0.6307) [2 per cell]
P (0.5000, 0.5000, 0.0000) [1 per cell]

* size of the total moment: 0.2 Bohr magnetons per cell
* DOS(E_F): 0.532 states/eV per atom
* energy of formation: -0.93 eV/atom


First-principles (PBE-GGA) data for a geometry-optimized MnNi7Sn2P2 structure, as listed in Alexandria.

Cell: 5.0409 5.0401 14.2777 Å, 90.00 100.07 90.00°
Space group C2/m (No. 12)
One atom of each set of equivalent atoms:
Mn (0.0000, 0.0000, 0.0000) [2 per cell]
Ni (0.0000, 0.5000, 0.0000) [2 per cell]
Ni (0.1858, 0.2501, 0.8694) [8 per cell]
Ni (0.1887, 0.5000, 0.3777) [4 per cell]
Sn (0.2106, 0.0000, 0.4219) [4 per cell]
P (0.1106, 0.5000, 0.2235) [4 per cell]

* size of the total moment: 7.7 Bohr magnetons per cell
* DOS(E_F): 0.617 states/eV per atom
* energy of formation: -0.22 eV/atom


First-principles (PBE-GGA) data for a geometry-optimized SrMnNiP2 structure, as listed in Alexandria.

Cell: 3.7730 3.7730 11.9481 Å, 90.00 90.00 90.00°
Space group I-4m2 (No. 119)
One atom of each set of equivalent atoms:
Sr (0.0000, 0.0000, 0.0000) [2 per cell]
Mn (0.0000, 0.5000, 0.2500) [2 per cell]
Ni (0.0000, 0.5000, 0.7500) [2 per cell]
P (0.0000, 0.0000, 0.3511) [4 per cell]

* size of the total moment: 0.0 Bohr magnetons per cell
* DOS(E_F): 0.489 states/eV per atom
* energy of formation: -0.81 eV/atom